Entry 1:
34
Lattice="8.043 0.000 0.000 0.000 11.214 0.000 -2.701 0.000 8.900" Properties=species:S:1:pos:R:3 comment="Na2Nd4NCl9O (meta-GGA SCAN, single point on PBEsol structure)" formation_energy_uncorrected_ev_per_atom=-2.544 pbc="T T T"
Na 0.641 0.000 3.831
Na 0.642 5.246 3.836
Na 4.700 10.853 5.064
Na 4.701 5.607 5.069
Nd -0.351 10.611 8.477
Nd -0.291 6.040 8.485
Nd 0.998 2.649 6.939
Nd 2.779 2.653 1.529
Nd 2.563 8.260 7.371
Nd 4.344 8.256 1.961
Nd 5.634 0.433 0.415
Nd 5.693 5.004 0.423
N 0.853 1.286 8.767
N 4.489 6.893 0.133
Cl -1.068 0.822 6.091
Cl -1.065 4.466 6.161
Cl 0.506 0.977 1.103
Cl 0.544 4.367 1.047
Cl -0.145 8.285 6.629
Cl 1.642 8.280 1.270
Cl 1.560 2.620 4.139
Cl 2.115 5.469 6.217
Cl 2.127 11.035 6.225
Cl 3.216 5.429 2.675
Cl 3.227 11.076 2.683
Cl 3.782 8.227 4.761
Cl 3.700 2.673 7.630
Cl 5.488 2.678 2.271
Cl 4.798 9.974 7.853
Cl 4.836 6.583 7.797
Cl 6.408 10.073 2.739
Cl 6.410 6.429 2.809
O 0.888 4.099 8.772
O 4.454 9.706 0.128

Entry 2:
16
Lattice="12.632 0.000 0.000 0.000 12.632 0.000 0.000 0.000 4.906" Properties=species:S:1:pos:R:3 comment="Rb2TeIr (meta-GGA SCAN, single point on PBEsol structure)" formation_energy_uncorrected_ev_per_atom=-0.060 pbc="T T T"
Rb 0.702 9.474 0.613
Rb 3.158 0.702 4.293
Rb 3.158 5.614 1.840
Rb 5.614 9.474 3.066
Rb 7.018 3.158 3.066
Rb 9.474 7.018 1.840
Rb 9.474 11.931 4.293
Rb 11.931 3.158 0.613
Te 0.000 0.000 2.453
Te 0.000 6.316 3.679
Te 6.316 0.000 1.226
Te 6.316 6.316 0.000
Ir 0.000 0.000 0.000
Ir 0.000 6.316 1.226
Ir 6.316 0.000 3.679
Ir 6.316 6.316 2.453

Entry 3:
12
Lattice="3.373 0.000 0.000 -1.687 2.921 0.000 0.000 0.000 32.366" Properties=species:S:1:pos:R:3 comment="In3Pb (meta-GGA SCAN, single point on PBEsol structure)" formation_energy_ev_per_atom=0.063 pbc="T T T"
In 0.000 0.000 0.000
In 0.000 0.000 8.197
In 0.000 0.000 24.169
In 0.000 1.947 13.381
In 0.000 1.947 21.578
In 0.000 1.947 29.775
In 1.687 0.974 2.592
In 1.687 0.974 10.789
In 1.687 0.974 18.986
Pb 0.000 0.000 16.183
Pb 0.000 1.947 5.394
Pb 1.687 0.974 26.972

Entry 4:
6
Lattice="2.925 0.000 0.000 0.000 2.925 0.000 0.000 0.000 11.181" Properties=species:S:1:pos:R:3 comment="TlCoPt (meta-GGA SCAN, single point on PBEsol structure)" formation_energy_ev_per_atom=0.313 de_polymorph_kj_per_mol_atoms=3.6 pbc="T T T"
Tl 0.000 0.000 0.000
Tl 1.462 1.462 5.591
Co 0.000 0.000 7.511
Co 1.462 1.462 1.921
Pt 0.000 0.000 3.416
Pt 1.462 1.462 9.007

Entry 5:
12
Lattice="3.912 0.000 0.000 -1.956 3.388 0.000 0.000 0.000 20.284" Properties=species:S:1:pos:R:3 comment="CuSbSe2 (meta-GGA SCAN, single point on PBEsol structure)" formation_energy_uncorrected_ev_per_atom=-0.089 pbc="T T T"
Cu 0.000 0.000 0.000
Cu 0.000 2.259 13.523
Cu 1.956 1.129 6.761
Sb 0.000 0.000 15.384
Sb 0.000 2.259 8.623
Sb 1.956 1.129 1.862
Se 0.000 0.000 6.183
Se 0.000 0.000 10.269
Se 0.000 2.259 3.508
Se 0.000 2.259 19.706
Se 1.956 1.129 12.945
Se 1.956 1.129 17.031

Entry 6:
40
Lattice="6.940 -6.882 0.000 6.940 6.882 0.000 -2.779 0.000 6.557" Properties=species:S:1:pos:R:3 comment="K3V3Bi2O12 (meta-GGA SCAN, single point on PBEsol structure)" formation_energy_uncorrected_ev_per_atom=-2.257 pbc="T T T"
K 0.000 0.000 0.000
K -1.390 0.000 3.279
K 4.856 3.763 4.918
K 4.856 0.163 4.918
K 6.245 -0.163 1.639
K 6.245 -3.763 1.639
V 2.590 1.508 2.388
V 6.245 3.402 1.639
V 1.200 -1.508 5.667
V 9.901 1.508 0.891
V 4.856 -3.402 4.918
V 8.511 -1.508 4.169
Bi 1.302 1.998 5.551
Bi 2.692 -1.998 2.273
Bi 8.409 1.998 4.285
Bi 9.799 -1.998 1.006
O 2.850 2.600 1.012
O 1.049 0.847 2.333
O 4.965 4.403 2.139
O 2.827 2.288 3.916
O -0.341 -0.847 5.611
O 7.526 4.403 1.139
O 5.844 2.369 0.305
O 3.700 0.224 2.291
O 2.311 -0.224 5.570
O 6.647 2.369 2.973
O 1.461 -2.600 4.290
O 4.217 -2.288 0.637
O 6.884 2.288 5.920
O 9.640 2.600 2.267
O 4.454 -2.369 3.584
O 8.791 0.224 0.988
O 7.401 -0.224 4.266
O 5.257 -2.369 6.252
O 3.575 -4.403 5.418
O 11.442 0.847 0.946
O 8.274 -2.288 2.642
O 6.137 -4.403 4.418
O 10.053 -0.847 4.225
O 8.251 -2.600 5.546

Entry 7:
16
Lattice="5.926 0.000 0.000 0.000 5.926 0.000 0.000 0.000 5.926" Properties=species:S:1:pos:R:3 comment="BeTcOs2 (meta-GGA SCAN, single point on PBEsol structure)" formation_energy_ev_per_atom=0.153 pbc="T T T"
Be 0.000 0.000 0.000
Be 0.000 2.963 2.963
Be 2.963 0.000 2.963
Be 2.963 2.963 0.000
Tc 1.482 1.482 4.445
Tc 1.482 4.445 1.482
Tc 4.445 1.482 1.482
Tc 4.445 4.445 4.445
Os 0.000 0.000 2.963
Os 0.000 2.963 0.000
Os 1.482 1.482 1.482
Os 1.482 4.445 4.445
Os 2.963 0.000 0.000
Os 2.963 2.963 2.963
Os 4.445 1.482 4.445
Os 4.445 4.445 1.482

Entry 8:
4
Lattice="3.697 0.000 0.000 0.000 3.697 0.000 0.000 0.000 2.655" Properties=species:S:1:pos:R:3 comment="BeFe2P (meta-GGA SCAN, single point on PBEsol structure)" formation_energy_ev_per_atom=-0.279 de_polymorph_kj_per_mol_atoms=9.1 pbc="T T T"
Be 0.000 0.000 0.000
Fe 0.000 1.849 1.327
Fe 1.849 0.000 1.327
P 1.849 1.849 0.000

Entry 9:
10
Lattice="3.723 0.000 0.000 0.000 3.723 0.000 0.000 0.000 15.979" Properties=species:S:1:pos:R:3 comment="SnAs2Se2 (meta-GGA SCAN, single point on PBEsol structure)" de_polymorph_kj_per_mol_atoms=13.0 formation_energy_uncorrected_ev_per_atom=0.211 pbc="T T T"
Sn 0.000 0.000 0.000
Sn 1.861 1.861 7.990
As 0.000 1.861 3.995
As 0.000 1.861 11.985
As 1.861 0.000 3.995
As 1.861 0.000 11.985
Se 0.000 0.000 6.381
Se 0.000 0.000 9.598
Se 1.861 1.861 1.608
Se 1.861 1.861 14.371

Entry 10:
16
Lattice="-6.874 6.874 3.421 6.874 -6.874 3.421 6.874 6.874 -3.421" Properties=species:S:1:pos:R:3 comment="Sr5Mg3 (meta-GGA SCAN, single point on PBEsol structure)" formation_energy_ev_per_atom=-0.012 de_polymorph_kj_per_mol_atoms=0.0 pbc="T T T"
Sr 10.747 1.098 0.000
Sr 1.098 3.001 0.000
Sr 6.874 0.000 1.711
Sr 7.972 3.873 0.000
Sr 3.873 5.776 0.000
Sr 3.001 1.098 3.421
Sr -1.098 3.001 3.421
Sr 0.000 6.874 1.711
Sr 5.776 3.873 3.421
Sr -3.873 5.776 3.421
Mg 4.628 2.246 0.000
Mg 0.000 0.000 1.711
Mg 4.628 -2.246 3.421
Mg 2.246 9.120 0.000
Mg 0.000 0.000 5.132
Mg 2.246 4.628 3.421

Entry 11:
5
Lattice="4.391 0.000 0.000 0.000 4.391 0.000 0.000 0.000 4.760" Properties=species:S:1:pos:R:3 comment="LaAs2SeN (meta-GGA SCAN, single point on PBEsol structure)" formation_energy_uncorrected_ev_per_atom=-0.142 pbc="T T T"
La 0.000 0.000 0.000
As 0.000 2.196 2.380
As 2.196 0.000 2.380
Se 2.196 2.196 0.000
N 2.196 2.196 2.380

Entry 12:
8
Lattice="8.944 0.000 0.000 0.000 3.136 0.000 -1.720 0.000 5.035" Properties=species:S:1:pos:R:3 comment="YCoW2 (meta-GGA SCAN, single point on PBEsol structure)" formation_energy_ev_per_atom=0.565 de_polymorph_kj_per_mol_atoms=0.0 pbc="T T T"
Y 0.000 0.000 0.000
Y 4.472 1.568 0.000
Co 0.988 0.000 3.503
Co 5.460 1.568 3.503
W -0.677 1.568 2.649
W 1.990 1.568 1.738
W 3.794 0.000 2.649
W 6.461 0.000 1.738

Entry 13:
10
Lattice="4.820 0.000 0.000 0.000 4.820 0.000 0.000 0.000 11.789" Properties=species:S:1:pos:R:3 comment="RbBi2Pd2 (meta-GGA SCAN, single point on PBEsol structure)" formation_energy_ev_per_atom=-0.350 pbc="T T T"
Rb 0.000 0.000 0.000
Rb 2.410 2.410 5.895
Bi 0.000 0.000 4.196
Bi 0.000 0.000 7.593
Bi 2.410 2.410 1.699
Bi 2.410 2.410 10.091
Pd 0.000 2.410 2.947
Pd 0.000 2.410 8.842
Pd 2.410 0.000 2.947
Pd 2.410 0.000 8.842

Entry 14:
8
Lattice="7.455 0.000 0.000 0.000 3.168 0.000 -0.878 0.000 5.035" Properties=species:S:1:pos:R:3 comment="InNi2P (meta-GGA SCAN, single point on PBEsol structure)" formation_energy_ev_per_atom=-0.141 pbc="T T T"
In 0.000 0.000 0.000
In 3.727 1.584 0.000
Ni -0.353 1.584 2.184
Ni 1.241 0.000 3.570
Ni 3.374 0.000 2.184
Ni 4.968 1.584 3.570
P 1.833 1.584 2.213
P 5.561 0.000 2.213

Entry 15:
6
Lattice="5.536 0.000 0.000 0.000 5.536 0.000 0.000 0.000 4.977" Properties=species:S:1:pos:R:3 comment="Hf2Mg (meta-GGA SCAN, single point on PBEsol structure)" formation_energy_ev_per_atom=1.375 pbc="T T T"
Hf 0.935 0.935 0.000
Hf 1.833 3.703 2.489
Hf 3.703 1.833 2.489
Hf 4.601 4.601 0.000
Mg 0.000 0.000 2.489
Mg 2.768 2.768 0.000

Entry 16:
8
Lattice="5.624 0.000 0.000 0.000 9.695 0.000 -1.221 0.000 2.464" Properties=species:S:1:pos:R:3 comment="SrZnOs2 (meta-GGA SCAN, single point on PBEsol structure)" formation_energy_ev_per_atom=0.907 pbc="T T T"
Sr 0.000 0.000 0.000
Sr 2.812 4.847 0.000
Zn 0.000 4.847 0.000
Zn 2.812 0.000 0.000
Os 0.795 2.424 1.232
Os 0.795 7.271 1.232
Os 3.607 2.424 1.232
Os 3.607 7.271 1.232

Entry 17:
8
Lattice="3.901 0.000 0.000 0.000 3.901 0.000 0.000 0.000 7.788" Properties=species:S:1:pos:R:3 comment="Ta2CoPt (meta-GGA SCAN, single point on PBEsol structure)" formation_energy_ev_per_atom=-0.450 pbc="T T T"
Ta 0.000 1.950 1.947
Ta 0.000 1.950 5.841
Ta 1.950 0.000 1.947
Ta 1.950 0.000 5.841
Co 0.000 0.000 0.000
Co 1.950 1.950 3.894
Pt 0.000 0.000 3.894
Pt 1.950 1.950 0.000

Entry 18:
8
Lattice="3.381 0.000 0.000 0.000 4.092 0.000 0.000 0.000 8.934" Properties=species:S:1:pos:R:3 comment="MgPtW2 (meta-GGA SCAN, single point on PBEsol structure)" formation_energy_ev_per_atom=-0.088 pbc="T T T"
Mg 0.000 0.000 0.000
Mg 1.691 2.046 4.467
Pt 0.000 0.000 4.467
Pt 1.691 2.046 0.000
W 0.000 2.046 2.220
W 0.000 2.046 6.714
W 1.691 0.000 2.247
W 1.691 0.000 6.687

Entry 19:
8
Lattice="6.384 0.000 0.000 0.000 8.081 0.000 -0.636 0.000 3.170" Properties=species:S:1:pos:R:3 comment="Zr2SiPb (meta-GGA SCAN, single point on PBEsol structure)" de_polymorph_kj_per_mol_atoms=11.6 formation_energy_uncorrected_ev_per_atom=-0.351 pbc="T T T"
Zr 1.596 2.020 0.000
Zr 1.596 6.061 0.000
Zr 4.788 2.020 0.000
Zr 4.788 6.061 0.000
Si -0.318 0.000 1.585
Si 2.874 4.041 1.585
Pb -0.318 4.041 1.585
Pb 2.874 0.000 1.585

Entry 20:
14
Lattice="10.637 0.000 0.000 0.000 4.375 0.000 -2.793 0.000 6.782" Properties=species:S:1:pos:R:3 comment="Tb2In3Au2 (meta-GGA SCAN, single point on PBEsol structure)" formation_energy_ev_per_atom=-0.756 pbc="T T T"
Tb 0.742 0.000 1.982
Tb 1.783 2.188 4.800
Tb 6.060 2.188 1.982
Tb 7.102 0.000 4.800
In -1.397 2.188 3.391
In -1.420 2.188 6.349
In 3.945 0.000 0.433
In 3.922 0.000 3.391
In 3.899 0.000 6.349
In 9.264 2.188 0.433
Au -0.276 0.000 4.837
Au 2.801 2.188 1.946
Au 5.042 2.188 4.837
Au 8.120 0.000 1.946

Entry 21:
8
Lattice="3.940 0.000 0.000 0.000 3.940 0.000 0.000 0.000 7.770" Properties=species:S:1:pos:R:3 comment="MnRe2Sb (meta-GGA SCAN, single point on PBEsol structure)" formation_energy_uncorrected_ev_per_atom=0.351 pbc="T T T"
Mn 0.000 0.000 0.000
Mn 1.970 1.970 3.885
Re 0.000 0.000 3.885
Re 0.000 1.970 1.942
Re 1.970 0.000 5.827
Re 1.970 1.970 0.000
Sb 0.000 1.970 5.827
Sb 1.970 0.000 1.942

Entry 22:
36
Lattice="4.361 2.518 6.763 -4.361 2.518 6.763 0.000 -5.036 6.763" Properties=species:S:1:pos:R:3 comment="Ti3Cr2SbP6O24 (meta-GGA SCAN, single point on PBEsol structure)" formation_energy_uncorrected_ev_per_atom=-2.511 pbc="T T T"
Ti 0.000 0.000 0.000
Ti 0.000 0.000 4.251
Ti 0.000 0.000 14.240
Cr 0.000 0.000 7.156
Cr 0.000 0.000 17.295
Sb 0.000 0.000 10.277
P -3.099 0.248 8.853
P -1.373 -2.351 12.142
P 1.335 -2.808 8.853
P -1.350 2.365 12.142
P 1.764 2.560 8.853
P 2.723 -0.013 12.142
O -3.641 1.016 7.643
O -2.903 -2.596 12.178
O -0.833 -1.230 5.679
O -3.532 0.982 10.131
O 0.940 -3.661 7.644
O -1.550 0.144 8.654
O -1.110 -1.873 10.729
O -0.648 1.337 5.679
O 0.916 -3.550 10.131
O 0.650 -1.414 8.654
O 1.482 -0.107 5.679
O -0.899 -1.353 13.221
O -1.068 1.898 10.729
O -1.485 -0.085 15.662
O 0.899 1.270 8.654
O -0.722 1.455 13.221
O -0.796 3.812 12.178
O 2.177 -0.024 10.729
O 0.816 -1.244 15.662
O 1.621 -0.102 13.221
O 2.700 2.645 7.643
O 0.669 1.329 15.662
O 3.699 -1.217 12.178
O 2.617 2.568 10.131

Entry 23:
5
Lattice="5.031 0.000 0.000 0.000 5.031 0.000 0.000 0.000 5.031" Properties=species:S:1:pos:R:3 comment="CrHg3Mo (meta-GGA SCAN, single point on PBEsol structure)" formation_energy_ev_per_atom=1.130 pbc="T T T"
Cr 0.000 0.000 0.000
Hg 0.000 0.000 2.515
Hg 0.000 2.515 0.000
Hg 2.515 0.000 0.000
Mo 2.515 2.515 2.515

no.,M_tot (μB per formula unit)
1,0.0
2,0.0
3,0.0
4,2.3
5,0.0
6,0.0
7,0.0
8,0.3
9,0.0
10,0.7
11,0.0
12,0.0
13,0.0
14,0.0
15,1.2
16,0.0
17,0.5
18,0.0
19,0.0
20,0.0
21,3.1
22,7.1
23,9.0